VASP calculation (GGA-PBE) on an optimized crystal structure of Tl2HgIF.

Computed properties:
Size of the total moment in μB/atom: 0.00
Total energy in eV for the cell shown: -12.51

abc: 5.485 5.485 5.552
angles: 90.00 90.00 90.00
Fractional positions:
Tl  0.000  0.500  0.000
Tl  0.500  0.000  0.000
Hg  0.000  0.000  0.500
I  0.500  0.500  0.500
F  0.000  0.000  0.000

VASP calculation (GGA-PBE) on an optimized crystal structure of TlHgI2F.

Computed properties:
Size of the total moment in μB/atom: 0.00
Total energy in eV for the cell shown: -11.27

abc: 6.022 6.022 4.588
angles: 90.00 90.00 90.00
Fractional positions:
Tl  0.000  0.000  0.000
Hg  0.500  0.500  0.500
I  0.000  0.500  0.500
I  0.500  0.000  0.500
F  0.500  0.500  0.000

VASP calculation (GGA-PBE) on an optimized crystal structure of TlHgIF2.

Computed properties:
Size of the total moment in μB/atom: 0.00
Total energy in eV for the cell shown: -28.21

abc: 7.322 4.805 8.320
angles: 90.00 94.16 90.00
Fractional positions:
Tl  0.179  0.250  0.394
Tl  0.821  0.750  0.606
Hg  0.165  0.250  0.898
Hg  0.835  0.750  0.102
I  0.488  0.250  0.777
I  0.512  0.750  0.223
F  0.025  0.750  0.355
F  0.026  0.750  0.911
F  0.974  0.250  0.089
F  0.975  0.250  0.645

VASP calculation (GGA-PBE) on an optimized crystal structure of YHgI2F.

Computed properties:
Size of the total moment in μB/atom: 0.00
Total energy in eV for the cell shown: -20.21

abc: 6.144 6.144 4.416
angles: 90.00 90.00 90.00
Fractional positions:
Y  0.000  0.000  0.000
Hg  0.500  0.500  0.500
I  0.000  0.500  0.000
I  0.500  0.000  0.000
F  0.000  0.000  0.500

VASP calculation (GGA-PBE) on an optimized crystal structure of In2HgF.

Computed properties:
Size of the total moment in μB/atom: 0.00
Total energy in eV for the cell shown: -20.75
ΔE to the lowest computed polymorph in eV/atom: 0.046

abc: 8.623 8.623 8.623
angles: 143.56 143.56 52.48
Fractional positions:
In  0.033  0.625  0.908
In  0.375  0.283  0.408
In  0.717  0.125  0.092
In  0.875  0.967  0.592
Hg  0.250  0.750  0.500
Hg  0.500  0.500  0.000
F  0.000  0.000  0.000
F  0.750  0.250  0.500

VASP calculation (GGA-PBE) on an optimized crystal structure of In2HgF.

Computed properties:
Size of the total moment in μB/atom: 0.00
Total energy in eV for the cell shown: -10.56
ΔE to the lowest computed polymorph in eV/atom: 0.000

abc: 9.988 9.988 9.988
angles: 19.28 19.28 19.28
Fractional positions:
In  0.000  0.000  0.000
In  0.203  0.203  0.203
Hg  0.435  0.435  0.435
F  0.608  0.608  0.608

> What is the formula in the second record?

TlHgI2F